# Tb2Y6Sc GGA-PBE relaxed
# Offset from the most stable computed form   0 meV/atom
# Final energy   -53.9 eV for the cell shown
# Space-group type   No. 187
# Energy of formation   1.28 kcal/mol of atoms
data_Tb2Y6Sc
_chemical_formula_sum 'Tb2 Y6 Sc1'
_cell_length_a 3.580
_cell_length_b 3.580
_cell_length_c 25.860
_cell_angle_alpha 90.00
_cell_angle_beta 90.00
_cell_angle_gamma 120.00
_symmetry_space_group_name_H-M 'P 1'
_symmetry_Int_Tables_number 1
loop_
_symmetry_equiv_pos_as_xyz
'x,y,z'
loop_
_atom_site_label
_atom_site_type_symbol
_atom_site_fract_x
_atom_site_fract_y
_atom_site_fract_z
_atom_site_occupancy
Tb1 Tb 0.000 0.000 0.174 1
Tb2 Tb 0.000 0.000 0.826 1
Y1 Y 0.000 0.000 0.397 1
Y2 Y 0.000 0.000 0.603 1
Y3 Y 0.667 0.333 0.066 1
Y4 Y 0.667 0.333 0.286 1
Y5 Y 0.667 0.333 0.714 1
Y6 Y 0.667 0.333 0.934 1
Sc1 Sc 0.667 0.333 0.500 1


# TbY8Sc4 GGA-PBE relaxed
# Final energy   -78.3 eV for the cell shown
# Space-group type   No. 166
# Energy of formation   6.06 kcal/mol of atoms
data_TbY8Sc4
_chemical_formula_sum 'Tb1 Y8 Sc4'
_cell_length_a 9.932
_cell_length_b 9.932
_cell_length_c 9.932
_cell_angle_alpha 41.76
_cell_angle_beta 41.76
_cell_angle_gamma 41.76
_symmetry_space_group_name_H-M 'P 1'
_symmetry_Int_Tables_number 1
loop_
_symmetry_equiv_pos_as_xyz
'x,y,z'
loop_
_atom_site_label
_atom_site_type_symbol
_atom_site_fract_x
_atom_site_fract_y
_atom_site_fract_z
_atom_site_occupancy
Tb1 Tb 0.000 0.000 0.000 1
Y1 Y 0.252 0.252 0.710 1
Y2 Y 0.252 0.710 0.252 1
Y3 Y 0.285 0.285 0.285 1
Y4 Y 0.290 0.748 0.748 1
Y5 Y 0.710 0.252 0.252 1
Y6 Y 0.715 0.715 0.715 1
Y7 Y 0.748 0.290 0.748 1
Y8 Y 0.748 0.748 0.290 1
Sc1 Sc 0.000 0.000 0.500 1
Sc2 Sc 0.000 0.500 0.000 1
Sc3 Sc 0.500 0.000 0.000 1
Sc4 Sc 0.500 0.500 0.500 1


# Tb3YSc7 GGA-PBE relaxed
# Final energy   -61.4 eV for the cell shown
# Space-group type   No. 71
# Energy of formation   6.79 kcal/mol of atoms
data_Tb3YSc7
_chemical_formula_sum 'Tb3 Y1 Sc7'
_cell_length_a 7.976
_cell_length_b 7.976
_cell_length_c 7.976
_cell_angle_alpha 140.00
_cell_angle_beta 98.21
_cell_angle_gamma 95.23
_symmetry_space_group_name_H-M 'P 1'
_symmetry_Int_Tables_number 1
loop_
_symmetry_equiv_pos_as_xyz
'x,y,z'
loop_
_atom_site_label
_atom_site_type_symbol
_atom_site_fract_x
_atom_site_fract_y
_atom_site_fract_z
_atom_site_occupancy
Tb1 Tb 0.000 0.000 0.000 1
Tb2 Tb 0.213 0.500 0.713 1
Tb3 Tb 0.787 0.500 0.287 1
Y1 Y 0.500 0.000 0.500 1
Sc1 Sc 0.028 0.218 0.810 1
Sc2 Sc 0.207 0.707 0.500 1
Sc3 Sc 0.408 0.218 0.190 1
Sc4 Sc 0.500 0.500 0.000 1
Sc5 Sc 0.592 0.782 0.810 1
Sc6 Sc 0.793 0.293 0.500 1
Sc7 Sc 0.972 0.782 0.190 1


# TbY7Sc4 GGA-PBE relaxed
# Final energy   -74.9 eV for the cell shown
# Space-group type   No. 2
# Energy of formation   0.63 kcal/mol of atoms
data_TbY7Sc4
_chemical_formula_sum 'Tb1 Y7 Sc4'
_cell_length_a 6.065
_cell_length_b 6.996
_cell_length_c 8.590
_cell_angle_alpha 89.96
_cell_angle_beta 76.31
_cell_angle_gamma 89.93
_symmetry_space_group_name_H-M 'P 1'
_symmetry_Int_Tables_number 1
loop_
_symmetry_equiv_pos_as_xyz
'x,y,z'
loop_
_atom_site_label
_atom_site_type_symbol
_atom_site_fract_x
_atom_site_fract_y
_atom_site_fract_z
_atom_site_occupancy
Tb1 Tb 0.000 0.000 0.000 1
Y1 Y 0.000 0.500 0.000 1
Y2 Y 0.223 0.001 0.337 1
Y3 Y 0.286 0.743 0.660 1
Y4 Y 0.497 0.254 0.993 1
Y5 Y 0.503 0.746 0.007 1
Y6 Y 0.714 0.257 0.340 1
Y7 Y 0.777 0.999 0.663 1
Sc1 Sc 0.215 0.500 0.341 1
Sc2 Sc 0.273 0.255 0.662 1
Sc3 Sc 0.727 0.745 0.338 1
Sc4 Sc 0.785 0.500 0.659 1


# Tb2YSc4 GGA-PBE relaxed
# Offset from the most stable computed form   147 meV/atom
# Final energy   -79.7 eV for the cell shown
# Space-group type   No. 65
# Energy of formation   3.97 kcal/mol of atoms
data_Tb2YSc4
_chemical_formula_sum 'Tb4 Y2 Sc8'
_cell_length_a 10.661
_cell_length_b 11.052
_cell_length_c 3.367
_cell_angle_alpha 90.00
_cell_angle_beta 90.00
_cell_angle_gamma 90.00
_symmetry_space_group_name_H-M 'P 1'
_symmetry_Int_Tables_number 1
loop_
_symmetry_equiv_pos_as_xyz
'x,y,z'
loop_
_atom_site_label
_atom_site_type_symbol
_atom_site_fract_x
_atom_site_fract_y
_atom_site_fract_z
_atom_site_occupancy
Tb1 Tb 0.195 0.000 0.000 1
Tb2 Tb 0.305 0.500 0.000 1
Tb3 Tb 0.695 0.500 0.000 1
Tb4 Tb 0.805 0.000 0.000 1
Y1 Y 0.000 0.500 0.500 1
Y2 Y 0.500 0.000 0.500 1
Sc1 Sc 0.000 0.228 0.000 1
Sc2 Sc 0.000 0.772 0.000 1
Sc3 Sc 0.250 0.250 0.500 1
Sc4 Sc 0.250 0.750 0.500 1
Sc5 Sc 0.500 0.272 0.000 1
Sc6 Sc 0.500 0.728 0.000 1
Sc7 Sc 0.750 0.250 0.500 1
Sc8 Sc 0.750 0.750 0.500 1


# TbY9Sc2 GGA-PBE relaxed
# Final energy   -75.0 eV for the cell shown
# Space-group type   No. 123
# Energy of formation   0.97 kcal/mol of atoms
data_TbY9Sc2
_chemical_formula_sum 'Tb1 Y9 Sc2'
_cell_length_a 4.985
_cell_length_b 4.985
_cell_length_c 14.924
_cell_angle_alpha 90.00
_cell_angle_beta 90.00
_cell_angle_gamma 90.00
_symmetry_space_group_name_H-M 'P 1'
_symmetry_Int_Tables_number 1
loop_
_symmetry_equiv_pos_as_xyz
'x,y,z'
loop_
_atom_site_label
_atom_site_type_symbol
_atom_site_fract_x
_atom_site_fract_y
_atom_site_fract_z
_atom_site_occupancy
Tb1 Tb 0.000 0.000 0.000 1
Y1 Y 0.000 0.500 0.171 1
Y2 Y 0.000 0.500 0.500 1
Y3 Y 0.000 0.500 0.829 1
Y4 Y 0.500 0.000 0.171 1
Y5 Y 0.500 0.000 0.500 1
Y6 Y 0.500 0.000 0.829 1
Y7 Y 0.500 0.500 0.000 1
Y8 Y 0.500 0.500 0.336 1
Y9 Y 0.500 0.500 0.664 1
Sc1 Sc 0.000 0.000 0.335 1
Sc2 Sc 0.000 0.000 0.665 1


# Tb2Y2Sc5 GGA-PBE relaxed
# Final energy   -104.1 eV for the cell shown
# Space-group type   No. 46
# Energy of formation   4.56 kcal/mol of atoms
data_Tb2Y2Sc5
_chemical_formula_sum 'Tb4 Y4 Sc10'
_cell_length_a 8.884
_cell_length_b 8.884
_cell_length_c 8.884
_cell_angle_alpha 97.78
_cell_angle_beta 123.92
_cell_angle_gamma 107.85
_symmetry_space_group_name_H-M 'P 1'
_symmetry_Int_Tables_number 1
loop_
_symmetry_equiv_pos_as_xyz
'x,y,z'
loop_
_atom_site_label
_atom_site_type_symbol
_atom_site_fract_x
_atom_site_fract_y
_atom_site_fract_z
_atom_site_occupancy
Tb1 Tb 0.000 0.000 0.000 1
Tb2 Tb 0.000 0.500 0.500 1
Tb3 Tb 0.016 0.871 0.645 1
Tb4 Tb 0.226 0.371 0.355 1
Y1 Y 0.306 0.037 0.479 1
Y2 Y 0.306 0.327 0.769 1
Y3 Y 0.558 0.537 0.231 1
Y4 Y 0.558 0.827 0.521 1
Sc1 Sc 0.046 0.341 0.905 1
Sc2 Sc 0.046 0.641 0.204 1
Sc3 Sc 0.278 0.748 0.030 1
Sc4 Sc 0.437 0.141 0.095 1
Sc5 Sc 0.437 0.841 0.796 1
Sc6 Sc 0.675 0.363 0.564 1
Sc7 Sc 0.675 0.611 0.812 1
Sc8 Sc 0.718 0.248 0.970 1
Sc9 Sc 0.799 0.111 0.436 1
Sc10 Sc 0.799 0.863 0.188 1


# Tb5Y2Sc4 GGA-PBE relaxed
# Offset from the most stable computed form   0 meV/atom
# Final energy   -60.2 eV for the cell shown
# Space-group type   No. 10
# Energy of formation   2.59 kcal/mol of atoms
data_Tb5Y2Sc4
_chemical_formula_sum 'Tb5 Y2 Sc4'
_cell_length_a 8.696
_cell_length_b 3.514
_cell_length_c 10.819
_cell_angle_alpha 90.00
_cell_angle_beta 95.04
_cell_angle_gamma 90.00
_symmetry_space_group_name_H-M 'P 1'
_symmetry_Int_Tables_number 1
loop_
_symmetry_equiv_pos_as_xyz
'x,y,z'
loop_
_atom_site_label
_atom_site_type_symbol
_atom_site_fract_x
_atom_site_fract_y
_atom_site_fract_z
_atom_site_occupancy
Tb1 Tb 0.000 0.000 0.000 1
Tb2 Tb 0.046 0.000 0.331 1
Tb3 Tb 0.351 0.000 0.866 1
Tb4 Tb 0.649 0.000 0.134 1
Tb5 Tb 0.954 0.000 0.669 1
Y1 Y 0.425 0.000 0.363 1
Y2 Y 0.575 0.000 0.637 1
Sc1 Sc 0.250 0.500 0.572 1
Sc2 Sc 0.300 0.500 0.127 1
Sc3 Sc 0.700 0.500 0.873 1
Sc4 Sc 0.750 0.500 0.428 1


# TbY5Sc4 GGA-PBE relaxed
# Offset from the most stable computed form   101 meV/atom
# Final energy   -121.4 eV for the cell shown
# Space-group type   No. 129
# Energy of formation   3.69 kcal/mol of atoms
data_TbY5Sc4
_chemical_formula_sum 'Tb2 Y10 Sc8'
_cell_length_a 8.829
_cell_length_b 8.829
_cell_length_c 7.635
_cell_angle_alpha 90.00
_cell_angle_beta 90.00
_cell_angle_gamma 90.00
_symmetry_space_group_name_H-M 'P 1'
_symmetry_Int_Tables_number 1
loop_
_symmetry_equiv_pos_as_xyz
'x,y,z'
loop_
_atom_site_label
_atom_site_type_symbol
_atom_site_fract_x
_atom_site_fract_y
_atom_site_fract_z
_atom_site_occupancy
Tb1 Tb 0.250 0.250 0.124 1
Tb2 Tb 0.750 0.750 0.876 1
Y1 Y 0.059 0.059 0.798 1
Y2 Y 0.059 0.441 0.798 1
Y3 Y 0.250 0.750 0.000 1
Y4 Y 0.441 0.059 0.798 1
Y5 Y 0.441 0.441 0.798 1
Y6 Y 0.559 0.559 0.202 1
Y7 Y 0.559 0.941 0.202 1
Y8 Y 0.750 0.250 0.000 1
Y9 Y 0.941 0.559 0.202 1
Y10 Y 0.941 0.941 0.202 1
Sc1 Sc 0.021 0.750 0.589 1
Sc2 Sc 0.250 0.521 0.411 1
Sc3 Sc 0.250 0.979 0.411 1
Sc4 Sc 0.479 0.750 0.589 1
Sc5 Sc 0.521 0.250 0.411 1
Sc6 Sc 0.750 0.021 0.589 1
Sc7 Sc 0.750 0.479 0.589 1
Sc8 Sc 0.979 0.250 0.411 1


# Tb4Y2Sc GGA-PBE relaxed
# Offset from the most stable computed form   36 meV/atom
# Final energy   -146.3 eV for the cell shown
# Space-group type   No. 61
# Energy of formation   3.98 kcal/mol of atoms
data_Tb4Y2Sc
_chemical_formula_sum 'Tb16 Y8 Sc4'
_cell_length_a 5.502
_cell_length_b 12.133
_cell_length_c 13.260
_cell_angle_alpha 90.00
_cell_angle_beta 90.00
_cell_angle_gamma 90.00
_symmetry_space_group_name_H-M 'P 1'
_symmetry_Int_Tables_number 1
loop_
_symmetry_equiv_pos_as_xyz
'x,y,z'
loop_
_atom_site_label
_atom_site_type_symbol
_atom_site_fract_x
_atom_site_fract_y
_atom_site_fract_z
_atom_site_occupancy
Tb1 Tb 0.002 0.145 0.179 1
Tb2 Tb 0.002 0.245 0.425 1
Tb3 Tb 0.002 0.255 0.925 1
Tb4 Tb 0.002 0.355 0.679 1
Tb5 Tb 0.498 0.645 0.179 1
Tb6 Tb 0.498 0.745 0.425 1
Tb7 Tb 0.498 0.755 0.925 1
Tb8 Tb 0.498 0.855 0.679 1
Tb9 Tb 0.502 0.145 0.321 1
Tb10 Tb 0.502 0.245 0.075 1
Tb11 Tb 0.502 0.255 0.575 1
Tb12 Tb 0.502 0.355 0.821 1
Tb13 Tb 0.998 0.645 0.321 1
Tb14 Tb 0.998 0.745 0.075 1
Tb15 Tb 0.998 0.755 0.575 1
Tb16 Tb 0.998 0.855 0.821 1
Y1 Y 0.000 0.068 0.655 1
Y2 Y 0.000 0.432 0.155 1
Y3 Y 0.000 0.568 0.845 1
Y4 Y 0.000 0.932 0.345 1
Y5 Y 0.500 0.068 0.845 1
Y6 Y 0.500 0.432 0.345 1
Y7 Y 0.500 0.568 0.655 1
Y8 Y 0.500 0.932 0.155 1
Sc1 Sc 0.000 0.000 0.000 1
Sc2 Sc 0.000 0.500 0.500 1
Sc3 Sc 0.500 0.000 0.500 1
Sc4 Sc 0.500 0.500 0.000 1


# Tb4Y19Sc6 GGA-PBE relaxed
# Final energy   -168.2 eV for the cell shown
# Space-group type   No. 197
# Energy of formation   8.86 kcal/mol of atoms
data_Tb4Y19Sc6
_chemical_formula_sum 'Tb4 Y19 Sc6'
_cell_length_a 10.666
_cell_length_b 10.666
_cell_length_c 10.666
_cell_angle_alpha 109.47
_cell_angle_beta 109.47
_cell_angle_gamma 109.47
_symmetry_space_group_name_H-M 'P 1'
_symmetry_Int_Tables_number 1
loop_
_symmetry_equiv_pos_as_xyz
'x,y,z'
loop_
_atom_site_label
_atom_site_type_symbol
_atom_site_fract_x
_atom_site_fract_y
_atom_site_fract_z
_atom_site_occupancy
Tb1 Tb 0.000 0.000 0.358 1
Tb2 Tb 0.000 0.358 0.000 1
Tb3 Tb 0.358 0.000 0.000 1
Tb4 Tb 0.642 0.642 0.642 1
Y1 Y 0.000 0.000 0.000 1
Y2 Y 0.000 0.266 0.266 1
Y3 Y 0.000 0.734 0.734 1
Y4 Y 0.006 0.224 0.667 1
Y5 Y 0.218 0.994 0.660 1
Y6 Y 0.224 0.667 0.006 1
Y7 Y 0.266 0.000 0.266 1
Y8 Y 0.266 0.266 0.000 1
Y9 Y 0.333 0.558 0.340 1
Y10 Y 0.340 0.333 0.558 1
Y11 Y 0.442 0.776 0.782 1
Y12 Y 0.558 0.340 0.333 1
Y13 Y 0.660 0.218 0.994 1
Y14 Y 0.667 0.006 0.224 1
Y15 Y 0.734 0.000 0.734 1
Y16 Y 0.734 0.734 0.000 1
Y17 Y 0.776 0.782 0.442 1
Y18 Y 0.782 0.442 0.776 1
Y19 Y 0.994 0.660 0.218 1
Sc1 Sc 0.116 0.500 0.616 1
Sc2 Sc 0.384 0.884 0.500 1
Sc3 Sc 0.500 0.384 0.884 1
Sc4 Sc 0.500 0.616 0.116 1
Sc5 Sc 0.616 0.116 0.500 1
Sc6 Sc 0.884 0.500 0.384 1


# Tb7Y12Sc GGA-PBE relaxed
# Offset from the most stable computed form   138 meV/atom
# Final energy   -110.1 eV for the cell shown
# Space-group type   No. 148
# Energy of formation   7.15 kcal/mol of atoms
data_Tb7Y12Sc
_chemical_formula_sum 'Tb7 Y12 Sc1'
_cell_length_a 10.979
_cell_length_b 10.979
_cell_length_c 10.979
_cell_angle_alpha 116.01
_cell_angle_beta 116.01
_cell_angle_gamma 116.01
_symmetry_space_group_name_H-M 'P 1'
_symmetry_Int_Tables_number 1
loop_
_symmetry_equiv_pos_as_xyz
'x,y,z'
loop_
_atom_site_label
_atom_site_type_symbol
_atom_site_fract_x
_atom_site_fract_y
_atom_site_fract_z
_atom_site_occupancy
Tb1 Tb 0.000 0.000 0.000 1
Tb2 Tb 0.149 0.313 0.446 1
Tb3 Tb 0.313 0.446 0.149 1
Tb4 Tb 0.446 0.149 0.313 1
Tb5 Tb 0.554 0.851 0.687 1
Tb6 Tb 0.687 0.554 0.851 1
Tb7 Tb 0.851 0.687 0.554 1
Y1 Y 0.016 0.597 0.805 1
Y2 Y 0.195 0.984 0.403 1
Y3 Y 0.233 0.304 0.756 1
Y4 Y 0.244 0.767 0.696 1
Y5 Y 0.304 0.756 0.233 1
Y6 Y 0.403 0.195 0.984 1
Y7 Y 0.597 0.805 0.016 1
Y8 Y 0.696 0.244 0.767 1
Y9 Y 0.756 0.233 0.304 1
Y10 Y 0.767 0.696 0.244 1
Y11 Y 0.805 0.016 0.597 1
Y12 Y 0.984 0.403 0.195 1
Sc1 Sc 0.500 0.500 0.500 1